Entry 1:
# Zr4Sc2As3C3 | the Open Quantum Materials Database | PBE | relaxed
data_Zr4Sc2As3C3
_space_group_name_H-M_alt 'C 1 2/c 1'
_space_group_IT_number 15
_cell_length_a 10.3771
_cell_length_b 5.9917
_cell_length_c 13.1942
_cell_angle_alpha 90.00
_cell_angle_beta 105.22
_cell_angle_gamma 90.00
loop_
_space_group_symop_operation_xyz
'x,y,z'
'-x,-y,-z'
'-x,y,-z+1/2'
'x,-y,z+1/2'
'x+1/2,y+1/2,z'
'-x+1/2,-y+1/2,-z'
'-x+1/2,y+1/2,-z+1/2'
'x+1/2,-y+1/2,z+1/2'
loop_
_atom_site_label
_atom_site_type_symbol
_atom_site_fract_x
_atom_site_fract_y
_atom_site_fract_z
Zr1 Zr 0.1162 0.0855 0.0991
Zr2 Zr 0.2180 0.0823 0.4009
Sc1 Sc 0.0494 0.4174 0.9010
As1 As 0.0000 0.0887 0.7500
As2 As 0.1639 0.4198 0.2504
C1 C 0.0854 0.2441 0.5000
C2 C 0.2500 0.2500 0.0000
# VASP energy, eV per atom: -8.2967

Entry 2:
# Zr4SiAsC2 | the Open Quantum Materials Database | PBE | relaxed
data_Zr4SiAsC2
_space_group_name_H-M_alt 'P -6 m 2'
_space_group_IT_number 187
_space_group_name_Hall 'P -6 2'
_cell_length_a 3.4002
_cell_length_b 3.4002
_cell_length_c 13.1434
_cell_angle_alpha 90.00
_cell_angle_beta 90.00
_cell_angle_gamma 120.00
loop_
_atom_site_label
_atom_site_type_symbol
_atom_site_fract_x
_atom_site_fract_y
_atom_site_fract_z
Zr1 Zr 0.0000 0.0000 0.1485
Zr2 Zr 0.3333 0.6667 0.3426
Si1 Si 0.0000 0.0000 0.5000
As1 As 0.3333 0.6667 0.0000
C1 C 0.6667 0.3333 0.2456
# VASP energy, eV per atom: -8.6934

Entry 3:
# Ta4SnAsC2 | the Open Quantum Materials Database | PBE | relaxed
data_Ta4SnAsC2
_space_group_name_H-M_alt 'P -6 m 2'
_space_group_IT_number 187
_space_group_name_Hall 'P -6 2'
_cell_length_a 3.2999
_cell_length_b 3.2999
_cell_length_c 12.8520
_cell_angle_alpha 90.00
_cell_angle_beta 90.00
_cell_angle_gamma 120.00
loop_
_atom_site_label
_atom_site_type_symbol
_atom_site_fract_x
_atom_site_fract_y
_atom_site_fract_z
Ta1 Ta 0.0000 0.0000 0.1452
Ta2 Ta 0.3333 0.6667 0.3213
Sn1 Sn 0.0000 0.0000 0.5000
As1 As 0.3333 0.6667 0.0000
C1 C 0.6667 0.3333 0.2355
# VASP energy, eV per atom: -9.7797